Entry from Alexandria: a PBEsol-optimized structure of HfScTi2 (meta-GGA SCAN).

Cell lengths 4.7620, 4.7620, 4.7620 Å; angles 60.00, 60.00, 60.00 degrees
With the nearest neighbours (Å) after each atom.
Positions (direct):
Hf1 0.0000 0.0000 0.0000  8 Ti 2.92
Sc1 0.5000 0.5000 0.5000  8 Ti 2.92
Ti1 0.2500 0.2500 0.2500  4 Hf 2.92, 4 Sc 2.92
Ti2 0.7500 0.7500 0.7500  4 Hf 2.92, 4 Sc 2.92

Results
For the formation energy, the calculation gives 0.225 eV per atom. The calculation puts the calculated volume at 19.089 Å³/atom. The symmetry is Fm-3m, No. 225.

Entry from Alexandria: a PBEsol-optimized structure of BaNb3Pt (meta-GGA SCAN).

Cell lengths 5.0178, 5.0178, 5.0178 Å; angles 90.00, 90.00, 90.00 degrees
With the nearest neighbours (Å) after each atom.
Positions (direct):
Ba1 0.0000 0.0000 0.0000  12 Nb 3.55
Nb1 0.0000 0.5000 0.5000  2 Pt 2.51
Nb2 0.5000 0.0000 0.5000  2 Pt 2.51
Nb3 0.5000 0.5000 0.0000  2 Pt 2.51
Pt1 0.5000 0.5000 0.5000  6 Nb 2.51

Results
For the formation energy, the calculation gives 0.826 eV per atom. The calculation puts the calculated volume at 25.268 Å³/atom. The symmetry is Pm-3m, No. 221.

Entry from Alexandria: a PBEsol-optimized structure of KZnCl2 (meta-GGA SCAN).

Cell lengths 4.9781, 4.9781, 3.5318 Å; angles 90.00, 90.00, 90.00 degrees
With the nearest neighbours (Å) after each atom.
Positions (direct):
K1 0.0000 0.0000 0.0000  8 Cl 3.05
Zn1 0.5000 0.5000 0.0000  8 Cl 3.05
Cl1 0.0000 0.5000 0.5000  4 K 3.05, 4 Zn 3.05
Cl2 0.5000 0.0000 0.5000  4 K 3.05, 4 Zn 3.05

Results
As for the polymorph energy (0 for the lowest one): 71 meV/atom. For the uncorrected formation energy, the calculation gives -1.058 eV/atom. The calculation puts the calculated volume at 21.881 Å³/atom. The symmetry is P4/mmm, No. 123.

Entry from Alexandria: a PBEsol-optimized structure of MnCrRu2Pb (meta-GGA SCAN).

Cell lengths 4.3708, 4.3708, 4.8885 Å; angles 90.00, 90.00, 90.00 degrees
With the nearest neighbours (Å) after each atom.
Positions (direct):
Mn1 0.0000 0.0000 0.0000  4 Pb 3.09, 8 Ru 3.28
Cr1 0.5000 0.5000 0.5000  4 Ru 2.19, 2 Pb 2.44
Ru1 0.0000 0.5000 0.5000  2 Cr 2.19
Ru2 0.5000 0.0000 0.5000  2 Cr 2.19
Pb1 0.5000 0.5000 0.0000  2 Cr 2.44

Results
For the formation energy, the calculation gives 1.119 eV per atom. The calculation puts the calculated volume at 18.678 Å³/atom. The symmetry is P4/mmm, No. 123.

Copy entry 2 word for word.
Entry from Alexandria: a PBEsol-optimized structure of BaNb3Pt (meta-GGA SCAN).

Cell lengths 5.0178, 5.0178, 5.0178 Å; angles 90.00, 90.00, 90.00 degrees
With the nearest neighbours (Å) after each atom.
Positions (direct):
Ba1 0.0000 0.0000 0.0000  12 Nb 3.55
Nb1 0.0000 0.5000 0.5000  2 Pt 2.51
Nb2 0.5000 0.0000 0.5000  2 Pt 2.51
Nb3 0.5000 0.5000 0.0000  2 Pt 2.51
Pt1 0.5000 0.5000 0.5000  6 Nb 2.51

Results
For the formation energy, the calculation gives 0.826 eV per atom. The calculation puts the calculated volume at 25.268 Å³/atom. The symmetry is Pm-3m, No. 221.